1.
Material: MnSbCl2
Method: DFT, meta-GGA SCAN
State: PBEsol geometry

abc: 8.4683 8.4683 8.4683
angles: 23.89 23.89 23.89
Fractional positions:
Mn1 0.0000 0.0000 0.0000
Sb1 0.2597 0.2597 0.2597
Cl1 0.5111 0.5111 0.5111
Cl2 0.7201 0.7201 0.7201

Properties
Its formation energy from raw total energies is -0.579 eV/atom. The space group is R3m, No. 160. The value obtained for the raw total energy is -18.45 eV per atom. For the energy above the most stable polymorph in this dataset, the calculation gives 286 meV/atom.



2.
Material: MnSeCl2
Method: DFT, meta-GGA SCAN
State: PBEsol geometry

abc: 3.6048 3.6048 7.6428
angles: 90.00 90.00 90.00
Fractional positions:
Mn1 0.0000 0.0000 0.0000
Se1 0.5000 0.5000 0.9133
Cl1 0.0000 0.0000 0.2813
Cl2 0.5000 0.5000 0.6232

Properties
Its formation energy from raw total energies is -0.651 eV/atom. The space group is P4mm, No. 99. The value obtained for the raw total energy is -14.22 eV per atom.



3.
Material: MnSnSe2Cl
Method: DFT, meta-GGA SCAN
State: PBEsol geometry

abc: 4.9657 4.9657 5.1416
angles: 90.00 90.00 90.00
Fractional positions:
Mn1 0.0000 0.0000 0.0000
Sn1 0.5000 0.5000 0.0000
Se1 0.0000 0.5000 0.5000
Se2 0.5000 0.0000 0.5000
Cl1 0.5000 0.5000 0.5000

Properties
Its formation energy from raw total energies is 0.721 eV/atom. The space group is P4/mmm, No. 123. The value obtained for the raw total energy is -19.74 eV per atom.



4.
Material: MnSiCl2
Method: DFT, meta-GGA SCAN
State: PBEsol geometry

abc: 8.9373 8.9373 8.9373
angles: 20.31 20.31 20.31
Fractional positions:
Mn1 0.0000 0.0000 0.0000
Si1 0.5000 0.5000 0.5000
Cl1 0.0837 0.0837 0.0837
Cl2 0.9163 0.9163 0.9163

Properties
Its formation energy from raw total energies is -0.044 eV/atom. The space group is R-3m, No. 166. The value obtained for the raw total energy is -11.10 eV per atom. For the energy above the most stable polymorph in this dataset, the calculation gives 93 meV/atom.



5.
Material: MnSiCl2
Method: DFT, meta-GGA SCAN
State: PBEsol geometry

abc: 4.5810 4.5810 4.5810
angles: 60.00 60.00 60.00
Fractional positions:
Mn1 0.0000 0.0000 0.0000
Si1 0.7500 0.7500 0.7500
Cl1 0.2500 0.2500 0.2500
Cl2 0.5000 0.5000 0.5000

Properties
Its formation energy from raw total energies is 0.335 eV/atom. The space group is F-43m, No. 216. The value obtained for the raw total energy is -10.72 eV per atom. For the energy above the most stable polymorph in this dataset, the calculation gives 472 meV/atom.



6.
Material: MnSiCl2
Method: DFT, meta-GGA SCAN
State: PBEsol geometry

abc: 3.0677 4.2081 5.4903
angles: 90.00 90.00 90.00
Fractional positions:
Mn1 0.0000 0.0000 0.0000
Si1 0.5000 0.0000 0.5000
Cl1 0.0000 0.5000 0.5000
Cl2 0.5000 0.5000 0.0000

Properties
Its formation energy from raw total energies is -0.137 eV/atom. The space group is Pmmm, No. 47. The value obtained for the raw total energy is -11.19 eV per atom. For the energy above the most stable polymorph in this dataset, the calculation gives 0 meV/atom.



7.
Material: ZrMnSiCl2
Method: DFT, meta-GGA SCAN
State: PBEsol geometry

abc: 4.7930 4.7930 5.4490
angles: 90.00 90.00 90.00
Fractional positions:
Zr1 0.0000 0.0000 0.0000
Mn1 0.5000 0.5000 0.5000
Si1 0.0000 0.0000 0.5000
Cl1 0.0000 0.5000 0.0000
Cl2 0.5000 0.0000 0.0000

Properties
Its formation energy from raw total energies is -0.313 eV/atom. The space group is P4/mmm, No. 123. The value obtained for the raw total energy is -15.30 eV per atom.



8.
Material: MnSn3Cl
Method: DFT, meta-GGA SCAN
State: PBEsol geometry

abc: 4.8825 4.8825 4.8825
angles: 90.00 90.00 90.00
Fractional positions:
Mn1 0.0000 0.0000 0.0000
Sn1 0.0000 0.0000 0.5000
Sn2 0.0000 0.5000 0.0000
Sn3 0.5000 0.0000 0.0000
Cl1 0.5000 0.5000 0.5000

Properties
Its formation energy from raw total energies is -0.251 eV/atom. The space group is Pm-3m, No. 221. The value obtained for the raw total energy is -27.05 eV per atom.



9.
Material: SrMnCl2
Method: DFT, meta-GGA SCAN
State: PBEsol geometry

abc: 4.7289 4.7289 3.9096
angles: 90.00 90.00 90.00
Fractional positions:
Sr1 0.0000 0.0000 0.0000
Mn1 0.5000 0.5000 0.0000
Cl1 0.0000 0.5000 0.5000
Cl2 0.5000 0.0000 0.5000

Properties
Its formation energy from raw total energies is -1.137 eV/atom. The space group is P4/mmm, No. 123. The value obtained for the raw total energy is -15.26 eV per atom.



10.
Material: SrMn2Cl
Method: DFT, meta-GGA SCAN
State: PBEsol geometry

abc: 3.4391 7.0370 7.0370
angles: 31.55 90.00 90.00
Fractional positions:
Sr1 0.0000 0.0000 0.0000
Mn1 0.0000 0.2268 0.2268
Mn2 0.5000 0.6741 0.6741
Cl1 0.5000 0.4004 0.4004

Properties
Its formation energy from raw total energies is -0.429 eV/atom. The space group is Amm2, No. 38. The value obtained for the raw total energy is -17.12 eV per atom.



11.
Material: TaMnCl2
Method: DFT, meta-GGA SCAN
State: PBEsol geometry

abc: 4.5096 4.5096 4.5096
angles: 60.00 60.00 60.00
Fractional positions:
Ta1 0.0000 0.0000 0.0000
Mn1 0.7500 0.7500 0.7500
Cl1 0.2500 0.2500 0.2500
Cl2 0.5000 0.5000 0.5000

Properties
Its formation energy from raw total energies is 0.557 eV/atom. The space group is F-43m, No. 216. The value obtained for the raw total energy is -24.64 eV per atom. For the energy above the most stable polymorph in this dataset, the calculation gives 1117 meV/atom.



12.
Material: TaMnCl2
Method: DFT, meta-GGA SCAN
State: PBEsol geometry

abc: 3.1033 3.2201 5.8684
angles: 90.00 90.00 90.00
Fractional positions:
Ta1 0.0000 0.0000 0.0000
Mn1 0.0000 0.0000 0.5000
Cl1 0.5000 0.5000 0.2455
Cl2 0.5000 0.5000 0.7545

Properties
Its formation energy from raw total energies is 0.373 eV/atom. The space group is Pmmm, No. 47. The value obtained for the raw total energy is -24.83 eV per atom. For the energy above the most stable polymorph in this dataset, the calculation gives 933 meV/atom.